# HgTe2As | Alexandria | GGA-PBE | optimized geometry
data_HgTe2As
_chemical_formula_sum 'Hg1 Te2 As1'
_space_group_name_H-M_alt 'P 1'
_space_group_IT_number 1
_space_group_name_Hall 'P 1'
_cell_length_a 10.5799
_cell_length_b 10.5799
_cell_length_c 10.5799
_cell_angle_alpha 20.83
_cell_angle_beta 20.83
_cell_angle_gamma 20.83
loop_
_atom_site_label
_atom_site_fract_x
_atom_site_fract_y
_atom_site_fract_z
As1 0.2500 0.2500 0.2500
Te1 0.9750 0.9750 0.9750
Te2 0.5250 0.5250 0.5250
Hg1 0.7500 0.7500 0.7500
# Total moment: 0.00 μB/atom
# ΔE to the lowest computed polymorph: 64 meV per atom
# Uncorrected formation energy: 0.062 eV/atom
# E_tot: -11.0 eV for the cell shown

=====

# Hg2Te4As | Alexandria | GGA-PBE | optimized geometry
data_Hg2Te4As
_chemical_formula_sum 'Hg2 Te4 As1'
_space_group_name_H-M_alt 'P 1'
_space_group_IT_number 1
_space_group_name_Hall 'P 1'
_cell_length_a 6.3134
_cell_length_b 6.3134
_cell_length_c 7.6013
_cell_angle_alpha 114.54
_cell_angle_beta 114.54
_cell_angle_gamma 90.00
loop_
_atom_site_label
_atom_site_fract_x
_atom_site_fract_y
_atom_site_fract_z
Hg1 0.2500 0.7500 0.5000
Hg2 0.7500 0.2500 0.5000
Te1 0.8774 0.3309 0.2083
Te2 0.3309 0.8774 0.2083
Te3 0.1226 0.1226 0.7917
Te4 0.6691 0.6691 0.7917
As1 0.5000 0.5000 0.0000
# Total moment: 0.00 μB/atom
# Uncorrected formation energy: 0.011 eV/atom
# E_tot: -17.7 eV for the cell shown

=====

# HgTeAs | Alexandria | GGA-PBE | optimized geometry
data_HgTeAs
_chemical_formula_sum 'Hg1 Te1 As1'
_space_group_name_H-M_alt 'P 1'
_space_group_IT_number 1
_space_group_name_Hall 'P 1'
_cell_length_a 7.5407
_cell_length_b 7.5407
_cell_length_c 7.5407
_cell_angle_alpha 151.86
_cell_angle_beta 151.86
_cell_angle_gamma 40.21
loop_
_atom_site_label
_atom_site_fract_x
_atom_site_fract_y
_atom_site_fract_z
As1 0.0386 0.0386 0.0000
Te1 0.6205 0.6205 0.0000
Hg1 0.3409 0.3409 0.0000
# Total moment: 0.00 μB/atom
# ΔE to the lowest computed polymorph: 40 meV per atom
# Uncorrected formation energy: 0.177 eV/atom
# E_tot: -7.6 eV for the cell shown

=====

# HgTe2As | Alexandria | GGA-PBE | optimized geometry
data_HgTe2As
_chemical_formula_sum 'Hg1 Te2 As1'
_space_group_name_H-M_alt 'P 1'
_space_group_IT_number 1
_space_group_name_Hall 'P 1'
_cell_length_a 3.3635
_cell_length_b 3.3635
_cell_length_c 10.6574
_cell_angle_alpha 90.00
_cell_angle_beta 90.00
_cell_angle_gamma 109.94
loop_
_atom_site_label
_atom_site_fract_x
_atom_site_fract_y
_atom_site_fract_z
Te1 0.0000 0.0000 0.4531
Te2 0.0000 0.0000 0.0469
Hg1 0.5000 0.5000 0.7500
As1 0.5000 0.5000 0.2500
# Total moment: 0.00 μB/atom
# ΔE to the lowest computed polymorph: 244 meV per atom
# Uncorrected formation energy: 0.241 eV/atom
# E_tot: -10.3 eV for the cell shown